No. 1
{
  "formula": "DyEr3Sc3",
  "functional": "PBE",
  "state": "relaxed",
  "m_tot_mub_per_atom": 0.085,
  "volume_a3_per_atom": 28.231,
  "energy_ry_per_atom": -0.38990,
  "cell": [[5.411, 0.000, 0.000], [0.000, 9.184, 0.000], [0.000, -4.592, 7.953]],
  "species": ["Sc", "Sc", "Sc", "Sc", "Sc", "Sc", "Er", "Er", "Er", "Er", "Er", "Er", "Dy", "Dy"],
  "fractional_positions": [[0.250, 0.096, 0.615], [0.250, 0.520, 0.904], [0.750, 0.480, 0.096], [0.250, 0.385, 0.480], [0.750, 0.615, 0.520], [0.750, 0.904, 0.385], [0.250, 0.953, 0.196], [0.750, 0.757, 0.953], [0.750, 0.047, 0.804], [0.250, 0.243, 0.047], [0.750, 0.196, 0.243], [0.250, 0.804, 0.757], [0.750, 0.333, 0.667], [0.250, 0.667, 0.333]]
}



No. 2
{
  "formula": "Dy6Er4Sc",
  "functional": "PBE",
  "state": "relaxed",
  "m_tot_mub_per_atom": 0.003,
  "e_above_lowest_polymorph_mev_per_atom": 0,
  "volume_a3_per_atom": 30.718,
  "cell": [[5.596, 0.000, 0.000], [-2.798, 4.757, 0.000], [0.000, 0.000, 25.386]],
  "species": ["Dy", "Dy", "Dy", "Dy", "Dy", "Dy", "Dy", "Dy", "Dy", "Dy", "Dy", "Dy", "Er", "Er", "Er", "Er", "Er", "Er", "Er", "Er", "Sc", "Sc"],
  "fractional_positions": [[0.481, 0.962, 0.250], [0.519, 0.038, 0.750], [0.814, 0.629, 0.394], [0.147, 0.294, 0.183], [0.814, 0.629, 0.106], [0.500, 0.000, 0.500], [0.853, 0.706, 0.683], [0.186, 0.371, 0.894], [0.500, 0.000, 0.000], [0.186, 0.371, 0.606], [0.147, 0.294, 0.317], [0.853, 0.706, 0.817], [0.477, 0.955, 0.378], [0.159, 0.318, 0.457], [0.159, 0.318, 0.043], [0.841, 0.682, 0.957], [0.523, 0.045, 0.878], [0.523, 0.045, 0.622], [0.841, 0.682, 0.543], [0.477, 0.955, 0.122], [0.184, 0.369, 0.750], [0.816, 0.631, 0.250]]
}



No. 3
{
  "formula": "Dy5Er5Sc",
  "functional": "PBE",
  "state": "relaxed",
  "m_tot_mub_per_atom": 0.110,
  "volume_a3_per_atom": 31.381,
  "energy_ry_per_atom": -0.32792,
  "cell": [[5.812, 0.000, 0.000], [-2.906, 9.296, 0.350], [0.000, -2.752, 6.285]],
  "species": ["Dy", "Dy", "Dy", "Dy", "Dy", "Er", "Er", "Er", "Er", "Er", "Sc"],
  "fractional_positions": [[0.176, 0.352, 0.420], [0.500, 0.000, 0.000], [0.824, 0.648, 0.068], [0.824, 0.648, 0.580], [0.176, 0.352, 0.932], [0.670, 0.340, 0.171], [0.330, 0.660, 0.829], [0.376, 0.752, 0.375], [0.624, 0.248, 0.625], [0.000, 0.000, 0.500], [0.000, 0.000, 0.000]]
}



No. 4
{
  "formula": "Dy6Er19Sc4",
  "functional": "PBE",
  "state": "relaxed",
  "m_tot_mub_per_atom": 0.000,
  "volume_a3_per_atom": 31.364,
  "energy_ry_per_atom": -0.32563,
  "cell": [[-8.908, -4.175, -3.872], [2.620, -4.971, 8.954], [-1.496, 10.275, 1.983]],
  "species": ["Er", "Er", "Er", "Er", "Er", "Er", "Er", "Er", "Er", "Er", "Er", "Er", "Er", "Er", "Er", "Er", "Er", "Er", "Er", "Dy", "Dy", "Dy", "Dy", "Dy", "Dy", "Sc", "Sc", "Sc", "Sc"],
  "fractional_positions": [[0.789, 0.982, 0.325], [0.536, 0.193, 0.211], [0.000, 0.259, 0.259], [0.000, 0.741, 0.741], [0.464, 0.675, 0.657], [0.259, 0.259, 0.000], [0.000, 0.000, 0.000], [0.211, 0.536, 0.193], [0.259, 0.000, 0.259], [0.343, 0.018, 0.807], [0.741, 0.741, 0.000], [0.741, 0.000, 0.741], [0.807, 0.343, 0.018], [0.193, 0.211, 0.536], [0.657, 0.464, 0.675], [0.675, 0.657, 0.464], [0.018, 0.807, 0.343], [0.325, 0.789, 0.982], [0.982, 0.325, 0.789], [0.500, 0.871, 0.371], [0.129, 0.629, 0.500], [0.629, 0.500, 0.129], [0.500, 0.129, 0.629], [0.871, 0.371, 0.500], [0.371, 0.500, 0.871], [0.000, 0.000, 0.645], [0.000, 0.645, 0.000], [0.645, 0.000, 0.000], [0.355, 0.355, 0.355]]
}



No. 5
{
  "formula": "Dy2Er2Sc3",
  "functional": "PBE",
  "state": "relaxed",
  "m_tot_mub_per_atom": 0.000,
  "e_above_lowest_polymorph_mev_per_atom": 194,
  "volume_a3_per_atom": 28.605,
  "cell": [[-7.002, 3.771, 1.198], [1.277, -0.838, -7.896], [-0.236, -7.255, 3.462]],
  "species": ["Dy", "Dy", "Dy", "Dy", "Er", "Er", "Er", "Er", "Sc", "Sc", "Sc", "Sc", "Sc", "Sc"],
  "fractional_positions": [[0.000, 0.000, 0.820], [0.320, 0.500, 0.000], [0.500, 0.820, 0.500], [0.180, 0.680, 0.680], [0.918, 0.500, 0.000], [0.000, 0.000, 0.418], [0.500, 0.418, 0.500], [0.582, 0.082, 0.082], [0.250, 0.947, 0.197], [0.053, 0.303, 0.250], [0.803, 0.250, 0.553], [0.697, 0.750, 0.947], [0.750, 0.553, 0.303], [0.447, 0.197, 0.750]]
}



No. 6
{
  "formula": "DyEr4Sc8",
  "functional": "PBE",
  "state": "relaxed",
  "m_tot_mub_per_atom": 0.093,
  "volume_a3_per_atom": 30.520,
  "energy_ry_per_atom": -0.37192,
  "cell": [[0.260, 7.186, -1.513], [-6.808, -0.345, -2.743], [-2.742, 1.486, 6.654]],
  "species": ["Er", "Er", "Er", "Er", "Sc", "Sc", "Sc", "Sc", "Sc", "Sc", "Sc", "Sc", "Dy"],
  "fractional_positions": [[0.500, 0.000, 0.500], [0.500, 0.500, 0.000], [0.000, 0.000, 0.000], [0.000, 0.500, 0.500], [0.240, 0.759, 0.240], [0.240, 0.240, 0.759], [0.240, 0.240, 0.240], [0.760, 0.760, 0.760], [0.760, 0.241, 0.760], [0.760, 0.760, 0.241], [0.759, 0.240, 0.240], [0.241, 0.760, 0.760], [0.500, 0.500, 0.500]]
}



No. 7
{
  "formula": "Dy2Er3Sc4",
  "functional": "PBE",
  "state": "relaxed",
  "m_tot_mub_per_atom": 0.000,
  "volume_a3_per_atom": 27.962,
  "energy_ry_per_atom": -0.38556,
  "cell": [[5.526, 1.512, 1.083], [2.259, 10.547, 0.777], [2.259, 4.134, 9.734]],
  "species": ["Sc", "Sc", "Sc", "Sc", "Sc", "Sc", "Sc", "Sc", "Er", "Er", "Er", "Er", "Er", "Er", "Dy", "Dy", "Dy", "Dy"],
  "fractional_positions": [[0.404, 0.578, 0.863], [0.096, 0.137, 0.422], [0.564, 0.097, 0.819], [0.936, 0.181, 0.903], [0.904, 0.863, 0.578], [0.596, 0.422, 0.137], [0.436, 0.903, 0.181], [0.064, 0.819, 0.097], [0.291, 0.257, 0.067], [0.791, 0.067, 0.257], [0.709, 0.743, 0.933], [0.250, 0.602, 0.398], [0.750, 0.398, 0.602], [0.209, 0.933, 0.743], [0.561, 0.770, 0.486], [0.061, 0.486, 0.770], [0.439, 0.230, 0.514], [0.939, 0.514, 0.230]]
}



No. 8
{
  "formula": "Dy7Er4Sc",
  "functional": "PBE",
  "state": "relaxed",
  "m_tot_mub_per_atom": 0.048,
  "e_above_lowest_polymorph_mev_per_atom": 188,
  "volume_a3_per_atom": 31.794,
  "cell": [[-5.032, 2.757, 0.552], [-6.992, -5.224, -7.555], [-4.171, -2.480, 4.452]],
  "species": ["Dy", "Dy", "Dy", "Dy", "Dy", "Dy", "Dy", "Er", "Er", "Er", "Er", "Sc"],
  "fractional_positions": [[0.208, 0.074, 0.511], [0.500, 0.000, 0.000], [0.070, 0.695, 0.166], [0.792, 0.926, 0.489], [0.367, 0.496, 0.771], [0.633, 0.504, 0.229], [0.930, 0.305, 0.834], [0.640, 0.225, 0.494], [0.360, 0.775, 0.506], [0.773, 0.674, 0.779], [0.227, 0.326, 0.221], [0.000, 0.000, 0.000]]
}



No. 9
{
  "formula": "Dy2Er2Sc5",
  "functional": "PBE",
  "state": "relaxed",
  "m_tot_mub_per_atom": 0.000,
  "e_above_lowest_polymorph_mev_per_atom": 0,
  "volume_a3_per_atom": 27.695,
  "cell": [[3.381, -0.568, 0.039], [-1.821, 8.270, -3.043], [2.381, -3.833, 10.589]],
  "species": ["Dy", "Dy", "Sc", "Sc", "Sc", "Sc", "Sc", "Er", "Er"],
  "fractional_positions": [[0.123, 0.228, 0.376], [0.877, 0.772, 0.624], [0.683, 0.822, 0.373], [0.317, 0.178, 0.627], [0.000, 0.000, 0.000], [0.064, 0.565, 0.763], [0.936, 0.435, 0.237], [0.364, 0.733, 0.084], [0.636, 0.267, 0.916]]
}



No. 10
{
  "formula": "DyErSc",
  "functional": "PBE",
  "state": "relaxed",
  "m_tot_mub_per_atom": 0.000,
  "e_above_lowest_polymorph_mev_per_atom": 33,
  "volume_a3_per_atom": 28.629,
  "cell": [[-2.665, 0.789, -1.890], [1.729, -3.407, -3.861], [-3.309, -1.790, 3.918]],
  "species": ["Dy", "Er", "Sc"],
  "fractional_positions": [[0.667, 0.667, 0.333], [0.167, 0.000, 0.000], [0.167, 0.333, 0.667]]
}



No. 11
{
  "formula": "Dy4Er2Sc",
  "functional": "PBE",
  "state": "relaxed",
  "m_tot_mub_per_atom": 0.000,
  "e_above_lowest_polymorph_mev_per_atom": 0,
  "volume_a3_per_atom": 30.379,
  "cell": [[6.044, 0.000, -0.317], [0.000, 6.449, 0.000], [-2.402, 0.000, 11.037]],
  "species": ["Er", "Er", "Er", "Er", "Dy", "Dy", "Dy", "Dy", "Dy", "Dy", "Dy", "Dy", "Sc", "Sc"],
  "fractional_positions": [[0.388, 0.250, 0.999], [0.612, 0.750, 0.001], [0.716, 0.750, 0.576], [0.284, 0.250, 0.424], [0.646, 0.995, 0.286], [0.646, 0.505, 0.286], [0.965, 0.250, 0.132], [0.354, 0.495, 0.714], [0.035, 0.750, 0.868], [0.148, 0.750, 0.441], [0.852, 0.250, 0.559], [0.354, 0.005, 0.714], [0.157, 0.750, 0.163], [0.843, 0.250, 0.837]]
}



No. 12
{
  "formula": "Dy12Er2Sc",
  "functional": "PBE",
  "state": "relaxed",
  "m_tot_mub_per_atom": 0.000,
  "volume_a3_per_atom": 33.207,
  "energy_ry_per_atom": -0.31748,
  "cell": [[6.428, 0.000, 0.000], [0.000, 6.428, 0.000], [0.000, 0.000, 24.113]],
  "species": ["Dy", "Dy", "Dy", "Dy", "Dy", "Dy", "Dy", "Dy", "Dy", "Dy", "Dy", "Dy", "Dy", "Dy", "Dy", "Dy", "Dy", "Dy", "Dy", "Dy", "Dy", "Dy", "Dy", "Dy", "Er", "Er", "Er", "Er", "Sc", "Sc"],
  "fractional_positions": [[0.751, 0.251, 0.105], [0.500, 0.500, 0.208], [0.500, 0.500, 0.334], [0.749, 0.249, 0.895], [0.669, 0.831, 0.563], [0.331, 0.169, 0.563], [0.249, 0.749, 0.105], [0.331, 0.831, 0.437], [0.000, 0.000, 0.792], [0.751, 0.749, 0.895], [0.000, 0.000, 0.208], [0.169, 0.669, 0.563], [0.000, 0.000, 0.666], [0.000, 0.000, 0.334], [0.669, 0.169, 0.437], [0.249, 0.251, 0.895], [0.169, 0.331, 0.437], [0.831, 0.669, 0.437], [0.831, 0.331, 0.563], [0.749, 0.751, 0.105], [0.251, 0.249, 0.105], [0.251, 0.751, 0.895], [0.500, 0.500, 0.792], [0.500, 0.500, 0.666], [0.000, 0.500, 0.261], [0.500, 0.000, 0.261], [0.500, 0.000, 0.739], [0.000, 0.500, 0.739], [0.000, 0.500, 0.000], [0.500, 0.000, 0.000]]
}